MgFe4P4O16: optimized geometry, PBE with a Hubbard U.

Computed properties:
Energy above the lowest structure with this stoichiometry ... 39 meV per atom

CIF file:
```
data_MgFe4P4O16
_chemical_formula_sum 'Mg1 Fe4 P4 O16'
_cell_length_a 5.230
_cell_length_b 7.686
_cell_length_c 8.631
_cell_angle_alpha 77.71
_cell_angle_beta 80.51
_cell_angle_gamma 75.20
_symmetry_space_group_name_H-M 'P 1'
_symmetry_Int_Tables_number 1
loop_
_symmetry_equiv_pos_as_xyz
'x,y,z'
loop_
_atom_site_label
_atom_site_fract_x
_atom_site_fract_y
_atom_site_fract_z
Mg1 0.000 0.000 0.000
Fe1 0.062 0.551 0.278
Fe2 0.406 0.576 0.803
Fe3 0.707 0.173 0.704
Fe4 0.815 0.123 0.345
P1 0.268 0.022 0.627
P2 0.409 0.220 0.092
P3 0.596 0.552 0.434
P4 0.822 0.719 0.928
O1 0.030 0.597 0.822
O2 0.033 0.062 0.525
O3 0.139 0.105 0.779
O4 0.190 0.112 0.120
O5 0.320 0.622 0.382
O6 0.337 0.375 0.190
O7 0.387 0.815 0.668
O8 0.481 0.301 0.911
O9 0.489 0.121 0.538
O10 0.571 0.641 0.966
O11 0.584 0.458 0.615
O12 0.673 0.093 0.151
O13 0.754 0.924 0.857
O14 0.771 0.695 0.400
O15 0.791 0.405 0.337
O16 0.962 0.722 0.076
```